{"formula": "BiOsO2", "functional": "SCAN", "state": "PBEsol geometry", "lattice_angstrom": [[-2.858, 2.858, 4.302], [2.858, -2.858, 4.302], [2.858, 2.858, -4.302]], "species": ["Bi", "Bi", "Os", "Os", "O", "O", "O", "O"], "fractional_positions": [[0.000, 0.000, 0.000], [0.750, 0.250, 0.500], [0.250, 0.750, 0.500], [0.500, 0.500, 0.000], [0.266, 0.625, 0.141], [0.375, 0.516, 0.641], [0.484, 0.125, 0.859], [0.875, 0.734, 0.359]], "volume_a3_per_atom": 17.6, "dft_energy_ev_per_atom": -40.6510}